1.
# Ca2FeOs

A geometry-optimized Ca2FeOs structure (PBEsol, Alexandria).

The density of states at the Fermi level comes out at 7.94 states/eV/cell. As for the offset from the most stable computed form: 592 meV per atom. Its formation energy is 0.77 eV/atom.

The structure belongs to space group Cmmm (No. 65); the cell edges are 5.8330, 9.0415 and 2.8120 Å and the angles 90.00°, 90.00° and 90.00°. The distinct sites, in fractional coordinates, are Ca at (0.2500, 0.2500, 0.0000), Fe at (0.0000, 0.0000, 0.5000) and Os at (0.0000, 0.5000, 0.5000).


2.
# Ca2FeOs

A geometry-optimized Ca2FeOs structure (PBEsol, Alexandria).

The density of states at the Fermi level comes out at 10.52 states/eV/cell. As for the offset from the most stable computed form: 0 meV per atom. Its formation energy is 0.18 eV/atom.

The structure belongs to space group R3m (No. 160, hexagonal axes); the cell edges are 3.8849, 3.8849 and 23.4662 Å and the angles 90.00°, 90.00° and 120.00°. The distinct sites, in fractional coordinates, are Ca at (0.0000, 0.0000, 0.0000), Ca at (0.0000, 0.0000, 0.1802), Fe at (0.0000, 0.0000, 0.7633) and Os at (0.0000, 0.0000, 0.4187).


3.
# Ca3FeOs

A geometry-optimized Ca3FeOs structure (PBEsol, Alexandria).

The density of states at the Fermi level comes out at 7.76 states/eV/cell. Its formation energy is 1.31 eV/atom.

The structure belongs to space group Pm-3m (No. 221); the cell edges are 4.9531, 4.9531 and 4.9531 Å and the angles 90.00°, 90.00° and 90.00°. The distinct sites, in fractional coordinates, are Ca at (0.0000, 0.0000, 0.5000), Fe at (0.0000, 0.0000, 0.0000) and Os at (0.5000, 0.5000, 0.5000).


4.
# Ca2FePOs

A geometry-optimized Ca2FePOs structure (PBEsol, Alexandria).

The density of states at the Fermi level comes out at 5.91 states/eV/cell. Its formation energy is 0.55 eV/atom.

The structure belongs to space group P4/mmm (No. 123); the cell edges are 5.4902, 5.4902 and 4.3586 Å and the angles 90.00°, 90.00° and 90.00°. The distinct sites, in fractional coordinates, are Ca at (0.0000, 0.5000, 0.0000), Fe at (0.0000, 0.0000, 0.5000), P at (0.5000, 0.5000, 0.5000) and Os at (0.5000, 0.5000, 0.0000).


5.
# CaFe2P2

A geometry-optimized CaFe2P2 structure (PBEsol, Alexandria).

The density of states at the Fermi level comes out at 3.99 states/eV/cell. Its formation energy is -0.94 eV/atom.

The structure belongs to space group I4/mmm (No. 139); the cell edges are 3.7859, 3.7859 and 9.6458 Å and the angles 90.00°, 90.00° and 90.00°. The distinct sites, in fractional coordinates, are Ca at (0.0000, 0.0000, 0.0000), Fe at (0.0000, 0.5000, 0.2500) and P at (0.0000, 0.0000, 0.3618).


6.
# Ca6FeP5

A geometry-optimized Ca6FeP5 structure (PBEsol, Alexandria).

The density of states at the Fermi level comes out at 6.50 states/eV/cell. Its formation energy is -0.96 eV/atom.

The structure belongs to space group P6_3/mcm (No. 193); the cell edges are 7.0826, 7.0826 and 14.1249 Å and the angles 90.00°, 90.00° and 120.00°. The distinct sites, in fractional coordinates, are Ca at (0.0000, 0.3735, 0.1209), Fe at (0.0000, 0.0000, 0.2500), P at (0.0000, 0.3027, 0.7500) and P at (0.3333, 0.6667, 0.0000).